[1]
Below is a crystal of GaTcGe2Os relaxed with PBEsol, with properties calculated at the meta-GGA SCAN level.

a b c (Å): 4.6665 4.6665 4.7992
angles (deg): 90.00 90.00 90.00
Closest atoms and distances in Å follow each position.
Space group P4/mmm (No. 123)
Unique sites:
Ga 0.0000 0.0000 0.0000  4 Tc 3.30, 8 Ge 3.35
Tc 0.5000 0.5000 0.0000  2 Os 2.40
Ge 0.0000 0.5000 0.5000  2 Os 2.33
Os 0.5000 0.5000 0.5000  4 Ge 2.33, 2 Tc 2.40

Values from the calculation:
- E_form: 0.9319 eV/atom
- E_tot: -156.802 eV per cell
- Mass density: 7.996 g cm⁻³

[2]
Below is a crystal of Sc2AsSe relaxed with PBEsol, with properties calculated at the meta-GGA SCAN level.

a b c (Å): 5.9879 5.9879 12.0331
angles (deg): 90.00 90.00 90.00
Closest atoms and distances in Å follow each position.
Space group I-42d (No. 122)
Unique sites:
Sc 0.2439 0.2500 0.1250  2 As 2.58, 2 Se 2.62
As 0.0000 0.0000 0.0000  4 Sc 2.58
Se 0.0000 0.0000 0.5000  4 Sc 2.62

Values from the calculation:
- Formation energy without anion corrections: -1.268 eV/atom
- E_tot: -295.268 eV per cell
- Mass density: 3.753 g cm⁻³

[3]
Below is a crystal of Y3HfTl relaxed with PBEsol, with properties calculated at the meta-GGA SCAN level.

a b c (Å): 5.5697 5.5697 5.5697
angles (deg): 90.00 90.00 90.00
Closest atoms and distances in Å follow each position.
Space group Pm-3m (No. 221)
Unique sites:
Y 0.0000 0.0000 0.5000  2 Tl 2.78
Hf 0.5000 0.5000 0.5000  12 Y 3.94
Tl 0.0000 0.0000 0.0000  6 Y 2.78

Values from the calculation:
- E_form: 0.6292 eV/atom
- E_tot: -215.414 eV per cell
- Mass density: 6.243 g cm⁻³

[4]
Below is a crystal of NbTl2Os2 relaxed with PBEsol, with properties calculated at the meta-GGA SCAN level.

a b c (Å): 3.8066 3.8066 13.4806
angles (deg): 90.00 90.00 90.00
Closest atoms and distances in Å follow each position.
Space group I4/mmm (No. 139)
Unique sites:
Nb 0.0000 0.0000 0.0000  8 Os 2.94
Tl 0.0000 0.5000 0.2500  4 Tl 2.69, 4 Os 2.89
Os 0.0000 0.0000 0.4115  1 Os 2.39

Values from the calculation:
- E_form: 1.0908 eV/atom
- E_tot: -632.304 eV per cell
- Mass density: 14.998 g cm⁻³

[5]
Below is a crystal of CaMg2 relaxed with PBEsol, with properties calculated at the meta-GGA SCAN level.

a b c (Å): 4.7851 4.7851 29.0892
angles (deg): 90.00 90.00 90.00
Closest atoms and distances in Å follow each position.
Space group I4_1/amd (No. 141, origin choice 2)
Unique sites:
Ca 0.0000 0.2500 0.2945  10 Mg 3.32-3.55, 2 Ca 3.52
Mg 0.0000 0.2500 0.1266  8 Mg 3.29-3.38, 4 Ca 3.32-3.38
Mg 0.0000 0.2500 0.7957  6 Mg 3.29-3.58, 6 Ca 3.38-3.55

Values from the calculation:
- E_form: -0.0094 eV/atom
- E_tot: -157.112 eV per cell
- Mass density: 1.769 g cm⁻³

[6]
Below is a crystal of LiSc2Pb relaxed with PBEsol, with properties calculated at the meta-GGA SCAN level.

a b c (Å): 4.6781 4.6781 7.7812
angles (deg): 90.00 90.00 90.00
Closest atoms and distances in Å follow each position.
Space group I4/mmm (No. 139)
Unique sites:
Li 0.0000 0.0000 0.0000  8 Sc 3.04, 4 Pb 3.31
Sc 0.0000 0.5000 0.2500  4 Pb 3.04, 4 Li 3.04, 4 Sc 3.31
Pb 0.0000 0.0000 0.5000  8 Sc 3.04, 4 Li 3.31

Values from the calculation:
- E_form: -0.3942 eV/atom
- E_tot: -216.444 eV per cell
- Mass density: 5.930 g cm⁻³

[7]
Below is a crystal of Ba2AgPt relaxed with PBEsol, with properties calculated at the meta-GGA SCAN level.

a b c (Å): 4.6842 4.6842 24.0052
angles (deg): 90.00 90.00 120.00
Closest atoms and distances in Å follow each position.
Space group R3m (No. 160, hexagonal axes)
Unique sites:
Ba 0.0000 0.0000 0.0000  3 Ag 3.34, 3 Pt 3.34
Ba 0.0000 0.0000 0.1631  3 Pt 3.33, 3 Ag 3.34
Ag 0.0000 0.0000 0.4147  3 Pt 2.70
Pt 0.0000 0.0000 0.7486  3 Ag 2.70

Values from the calculation:
- E_form: -0.5091 eV/atom
- E_tot: -548.090 eV per cell
- Mass density: 6.308 g cm⁻³

[8]
Below is a crystal of LaScCo2 relaxed with PBEsol, with properties calculated at the meta-GGA SCAN level.

a b c (Å): 4.5300 4.5421 6.6753
angles (deg): 90.00 95.61 90.00
Closest atoms and distances in Å follow each position.
Space group C2/m (No. 12)
Unique sites:
La 0.0000 0.0000 0.0000  6 Co 2.73-2.98
Sc 0.0000 0.0000 0.5000  8 Co 2.66-2.69
Co 0.0261 0.5000 0.7140  4 Sc 2.66-2.69, 1 La 2.73, 1 Co 2.84

Values from the calculation:
- E_form: -0.0573 eV/atom
- E_tot: -184.360 eV per cell
- Mass density: 7.331 g cm⁻³

[9]
Below is a crystal of BWSe2 relaxed with PBEsol, with properties calculated at the meta-GGA SCAN level.

a b c (Å): 3.0819 3.0819 22.5031
angles (deg): 90.00 90.00 120.00
Closest atoms and distances in Å follow each position.
Space group R-3m (No. 166, hexagonal axes)
Unique sites:
B 0.0000 0.0000 0.0000  6 Se 2.21
W 0.0000 0.0000 0.5000  2 Se 2.44
Se 0.0000 0.0000 0.3914  3 B 2.21, 1 W 2.44

Values from the calculation:
- Formation energy without anion corrections: 0.921 eV/atom
- E_tot: -340.772 eV per cell
- Mass density: 9.489 g cm⁻³

[10]
Below is a crystal of AgSbPb relaxed with PBEsol, with properties calculated at the meta-GGA SCAN level.

a b c (Å): 4.6034 4.6034 4.3025
angles (deg): 90.00 90.00 120.00
Closest atoms and distances in Å follow each position.
Space group P3m1 (No. 156)
Unique sites:
Ag 0.0000 0.0000 0.0000  3 Sb 2.70
Sb 0.6667 0.3333 0.8929  3 Ag 2.70
Pb 0.3333 0.6667 0.4009  3 Ag 3.17, 6 Sb 3.40-3.44

Values from the calculation:
- Formation energy without anion corrections: 0.075 eV/atom
- E_tot: -144.185 eV per cell
- Mass density: 9.187 g cm⁻³

[11]
Below is a crystal of BaTa2HPd relaxed with PBEsol, with properties calculated at the meta-GGA SCAN level.

a b c (Å): 5.1247 5.1247 5.0612
angles (deg): 90.00 90.00 90.00
Closest atoms and distances in Å follow each position.
Space group P4/mmm (No. 123)
Unique sites:
Ba 0.0000 0.0000 0.0000  2 Pd 2.53, 4 Ta 2.56
Ta 0.0000 0.5000 0.0000  2 Ba 2.56
H 0.5000 0.5000 0.5000  8 Ta 3.60, 4 Pd 3.62
Pd 0.0000 0.0000 0.5000  2 Ba 2.53

Values from the calculation:
- E_tot: -191.808 eV per cell
- Mass density: 7.579 g cm⁻³

[12]
Below is a crystal of SrCu2Au relaxed with PBEsol, with properties calculated at the meta-GGA SCAN level.

a b c (Å): 7.5402 4.3632 5.6371
angles (deg): 90.00 116.63 90.00
Closest atoms and distances in Å follow each position.
Space group C2/m (No. 12)
Unique sites:
Sr 0.0000 0.0000 0.0000  2 Cu 2.91
Cu 0.1926 0.0000 0.5784  3 Au 2.55, 3 Cu 2.63-2.64
Au 0.0000 0.5000 0.5000  6 Cu 2.55

Values from the calculation:
- E_form: -0.3219 eV/atom
- E_tot: -246.237 eV per cell
- Mass density: 8.247 g cm⁻³

[13]
Below is a crystal of TmInPd2 relaxed with PBEsol, with properties calculated at the meta-GGA SCAN level.

a b c (Å): 6.6257 6.6257 6.6257
angles (deg): 90.00 90.00 90.00
Closest atoms and distances in Å follow each position.
Space group Fm-3m (No. 225)
Unique sites:
Tm 0.0000 0.0000 0.0000  8 Pd 2.87
In 0.0000 0.0000 0.5000  8 Pd 2.87
Pd 0.2500 0.2500 0.2500  4 Tm 2.87, 4 In 2.87

Values from the calculation:
- E_form: -0.9151 eV/atom
- E_tot: -617.709 eV per cell
- Mass density: 11.340 g cm⁻³

[14]
Below is a crystal of Ti4Co5Ni relaxed with PBEsol, with properties calculated at the meta-GGA SCAN level.

a b c (Å): 2.9802 2.9802 13.6201
angles (deg): 90.00 90.00 90.00
Closest atoms and distances in Å follow each position.
Space group P4/mmm (No. 123)
Unique sites:
Ti 0.0000 0.0000 0.1054  8 Co 2.51-2.55
Ti 0.0000 0.0000 0.3177  8 Co 2.44-2.60, 1 Ni 2.48
Co 0.5000 0.5000 0.0000  8 Ti 2.55, 2 Co 2.81
Co 0.5000 0.5000 0.2062  8 Ti 2.51-2.60, 2 Co 2.76-2.81
Co 0.5000 0.5000 0.4085  4 Ti 2.44, 4 Ni 2.45, 1 Co 2.49
Ni 0.0000 0.0000 0.5000  8 Co 2.45, 2 Ti 2.48

Values from the calculation:
- E_form: -0.3192 eV/atom
- E_tot: -170.006 eV per cell
- Mass density: 7.479 g cm⁻³

no.,DOS(E_F) (states/eV per cell)
1,3.10
2,10.61
3,10.53
4,9.70
5,16.94
6,5.14
7,9.81
8,4.64
9,8.69
10,1.05
11,4.73
12,3.42
13,7.21
14,7.64